1.
# ThScTi2 (PBE, optimized geometry)
# ΔE to the lowest computed polymorph, meV/atom: 28
# Calculated formation energy, eV per atom: 0.177
data_ThScTi2
_cell_length_a 3.683
_cell_length_b 3.683
_cell_length_c 6.553
_cell_angle_alpha 90.00
_cell_angle_beta 90.00
_cell_angle_gamma 90.00
_space_group_name_H-M_alt 'P 4/m m m'
_space_group_IT_number 123
_space_group_name_Hall '-P 4 2'
loop_
_atom_site_label
_atom_site_type_symbol
_atom_site_fract_x
_atom_site_fract_y
_atom_site_fract_z
Th1 Th 0.000 0.000 0.000
Sc1 Sc 0.000 0.000 0.500
Ti1 Ti 0.500 0.500 0.232

=====

2.
# NdPa2Al (PBE, optimized geometry)
# ΔE to the lowest computed polymorph, meV/atom: 0
# Calculated formation energy, eV per atom: 0.059
data_NdPa2Al
_cell_length_a 4.468
_cell_length_b 4.468
_cell_length_c 5.019
_cell_angle_alpha 90.00
_cell_angle_beta 90.00
_cell_angle_gamma 90.00
_space_group_name_H-M_alt 'P 4/m m m'
_space_group_IT_number 123
_space_group_name_Hall '-P 4 2'
loop_
_atom_site_label
_atom_site_type_symbol
_atom_site_fract_x
_atom_site_fract_y
_atom_site_fract_z
Nd1 Nd 0.000 0.000 0.000
Pa1 Pa 0.000 0.500 0.500
Al1 Al 0.500 0.500 0.000

=====

3.
# HoMg2Pt9 (PBE, optimized geometry)
# Calculated formation energy, eV per atom: -0.739
data_HoMg2Pt9
_cell_length_a 4.021
_cell_length_b 4.021
_cell_length_c 11.997
_cell_angle_alpha 90.00
_cell_angle_beta 90.00
_cell_angle_gamma 90.00
_space_group_name_H-M_alt 'P 4/m m m'
_space_group_IT_number 123
_space_group_name_Hall '-P 4 2'
loop_
_atom_site_label
_atom_site_type_symbol
_atom_site_fract_x
_atom_site_fract_y
_atom_site_fract_z
Ho1 Ho 0.000 0.000 0.000
Mg1 Mg 0.000 0.000 0.339
Pt1 Pt 0.000 0.500 0.176
Pt2 Pt 0.000 0.500 0.500
Pt3 Pt 0.500 0.500 0.000
Pt4 Pt 0.500 0.500 0.337

=====

4.
# LiTmSc2Ga4 (PBE, optimized geometry)
# Calculated formation energy, eV per atom: -0.510
data_LiTmSc2Ga4
_cell_length_a 4.7268
_cell_length_b 4.7268
_cell_length_c 23.7637
_cell_angle_alpha 90.00
_cell_angle_beta 90.00
_cell_angle_gamma 120.00
_space_group_name_H-M_alt 'R -3 m'
_space_group_IT_number 166
_space_group_name_Hall '-R 3 2"'
loop_
_atom_site_label
_atom_site_type_symbol
_atom_site_fract_x
_atom_site_fract_y
_atom_site_fract_z
Li1 Li 0.0000 0.0000 0.0000
Tm1 Tm 0.0000 0.0000 0.5000
Sc1 Sc 0.0000 0.0000 0.2555
Ga1 Ga 0.0000 0.0000 0.1213
Ga2 Ga 0.0000 0.0000 0.3732

=====

5.
# Dy4HSe2 (PBE, optimized geometry)
# Total DFT energy (no corrections), eV/atom: -4.9700
data_Dy4HSe2
_cell_length_a 4.252
_cell_length_b 4.252
_cell_length_c 16.293
_cell_angle_alpha 90.00
_cell_angle_beta 90.00
_cell_angle_gamma 90.00
_space_group_name_H-M_alt 'I 4/m m m'
_space_group_IT_number 139
_space_group_name_Hall '-I 4 2'
loop_
_atom_site_label
_atom_site_type_symbol
_atom_site_fract_x
_atom_site_fract_y
_atom_site_fract_z
Dy1 Dy 0.000 0.000 0.183
Dy2 Dy 0.000 0.500 0.000
H1 H 0.000 0.000 0.000
Se1 Se 0.000 0.000 0.366

=====

6.
# CaNiN (PBE, optimized geometry)
# ΔE to the lowest computed polymorph, meV/atom: 310
# Formation energy without anion corrections, eV per atom: -0.372
data_CaNiN
_cell_length_a 4.471
_cell_length_b 4.816
_cell_length_c 9.378
_cell_angle_alpha 90.00
_cell_angle_beta 90.00
_cell_angle_gamma 90.00
_space_group_name_H-M_alt 'I m m m'
_space_group_IT_number 71
_space_group_name_Hall '-I 2 2'
loop_
_atom_site_label
_atom_site_type_symbol
_atom_site_fract_x
_atom_site_fract_y
_atom_site_fract_z
Ca1 Ca 0.000 0.000 0.200
Ni1 Ni 0.249 0.500 0.000
N1 N 0.000 0.500 0.158

=====

Number 1: total magnetic moment 0.00 Bohr magnetons per cell, density 7.0 g cm⁻³, DOS at the Fermi energy 6.17 states/eV per cell. Number 2: total magnetic moment 0.00 Bohr magnetons per cell, density 10.5 g cm⁻³, DOS at the Fermi energy 8.24 states/eV per cell. Number 3: total magnetic moment 0.00 Bohr magnetons per cell, density 16.9 g cm⁻³, DOS at the Fermi energy 11.94 states/eV per cell. Number 4: total magnetic moment 0.00 Bohr magnetons per cell, density 5.9 g cm⁻³, DOS at the Fermi energy 10.21 states/eV per cell. Number 5: total magnetic moment 0.00 Bohr magnetons per cell, density 9.1 g cm⁻³, DOS at the Fermi energy 8.77 states/eV per cell. Number 6: total magnetic moment 1.25 Bohr magnetons per cell, density 3.7 g cm⁻³, DOS at the Fermi energy 8.07 states/eV per cell.